# KSc4Tc (PBE, optimized geometry)
# DOS(E_F)	37.72	states/eV per cell
# crystal system	cubic
# calculated formation energy	0.920	eV per atom
data_KSc4Tc
_chemical_formula_sum 'K4 Sc16 Tc4'
_cell_length_a 8.455
_cell_length_b 8.455
_cell_length_c 8.455
_cell_angle_alpha 90.00
_cell_angle_beta 90.00
_cell_angle_gamma 90.00
_symmetry_space_group_name_H-M 'F -4 3 m'
_symmetry_Int_Tables_number 216
_symmetry_space_group_name_Hall 'F -4 2 3'
loop_
_atom_site_label
_atom_site_fract_x
_atom_site_fract_y
_atom_site_fract_z
K1 0.000 0.000 0.000
Sc1 0.121 0.121 0.621
Tc1 0.250 0.250 0.250